No. 1
A plane-wave DFT calculation with PBE was carried out for crystalline Zr2Sc2Fe at its relaxed geometry.

Computed properties:
D(E_F): 2.42 states/eV/f.u.
E above lowest polymorph: 20.4 kJ per mole of atoms
Volume: 207.5 Å³ per cell
Mass density: 5.3 g cm⁻³
Calculated formation energy: 0.20 eV per atom
Raw total energy: -0.273 hartree per atom
Space-group type: P4/mbm (127)

Cell: 6.375 6.375 5.107 Å, 90.00 90.00 90.00°
Positions (direct):
Sc1 0.343 0.843 0.000
Sc2 0.843 0.657 0.000
Sc3 0.657 0.157 0.000
Sc4 0.157 0.343 0.000
Fe1 0.000 0.000 0.000
Fe2 0.500 0.500 0.000
Zr1 0.165 0.665 0.500
Zr2 0.665 0.835 0.500
Zr3 0.835 0.335 0.500
Zr4 0.335 0.165 0.500

***

No. 2
A plane-wave DFT calculation with PBE was carried out for crystalline Er3Th3Tl2Tc at its relaxed geometry.

Computed properties:
D(E_F): 10.72 states/eV/f.u.
Volume: 254.6 Å³ per cell
Mass density: 11.1 g cm⁻³
Calculated formation energy: -0.22 eV per atom
Raw total energy: -0.216 hartree per atom
Space-group type: P-62m (189)

Cell: 3.823 8.770 8.770 Å, 120.00 90.00 90.00°
Positions (direct):
Er1 0.000 0.605 0.605
Er2 0.000 0.000 0.395
Er3 0.000 0.395 0.000
Th1 0.500 0.755 0.000
Th2 0.500 0.000 0.755
Th3 0.500 0.245 0.245
Tl1 0.500 0.667 0.333
Tl2 0.500 0.333 0.667
Tc1 0.000 0.000 0.000

***

No. 3
A plane-wave DFT calculation with PBE was carried out for crystalline KTc6S8 at its relaxed geometry.

Computed properties:
D(E_F): 10.79 states/eV/f.u.
ΔE_f (raw): -617.7 meV/atom
Volume: 286.2 Å³ per cell
Mass density: 5.1 g cm⁻³
Raw total energy: -0.259 hartree per atom
Space-group type: R-3 (148)

Cell: 6.590 6.590 6.590 Å, 89.57 89.57 89.57°
Positions (direct):
K1 0.000 0.000 0.000
Tc1 0.583 0.437 0.765
Tc2 0.437 0.765 0.583
Tc3 0.765 0.583 0.437
Tc4 0.417 0.563 0.235
Tc5 0.563 0.235 0.417
Tc6 0.235 0.417 0.563
S1 0.749 0.749 0.749
S2 0.251 0.251 0.251
S3 0.615 0.876 0.270
S4 0.876 0.270 0.615
S5 0.270 0.615 0.876
S6 0.385 0.124 0.730
S7 0.124 0.730 0.385
S8 0.730 0.385 0.124